# PBE CdAgIr, optimized geometry
# Final energy = -3.58 eV/atom
# Crystal system = cubic
# M_tot = 0.0 μB per formula unit
data_CdAgIr
_space_group_name_H-M_alt 'P 1'
_space_group_IT_number 1
_cell_length_a 4.452
_cell_length_b 4.452
_cell_length_c 4.452
_cell_angle_alpha 60.00
_cell_angle_beta 60.00
_cell_angle_gamma 60.00
loop_
_space_group_symop_operation_xyz
'x,y,z'
loop_
_atom_site_label
_atom_site_fract_x
_atom_site_fract_y
_atom_site_fract_z
Ag1 0.250 0.250 0.250
Ir1 0.000 0.000 0.000
Cd1 0.750 0.750 0.750

# PBE LiSiAgTe2S, optimized geometry
# Final energy = -3.62 eV/atom
# Crystal system = orthorhombic
data_LiSiAgTe2S
_space_group_name_H-M_alt 'P 1'
_space_group_IT_number 1
_cell_length_a 6.771
_cell_length_b 6.771
_cell_length_c 10.836
_cell_angle_alpha 90.00
_cell_angle_beta 90.00
_cell_angle_gamma 145.29
loop_
_space_group_symop_operation_xyz
'x,y,z'
loop_
_atom_site_label
_atom_site_fract_x
_atom_site_fract_y
_atom_site_fract_z
Te1 0.350 0.650 0.493
Te2 0.650 0.350 0.507
Te3 0.650 0.350 0.993
Te4 0.350 0.650 0.007
S1 0.972 0.028 0.750
S2 0.028 0.972 0.250
Si1 0.000 0.000 0.000
Si2 0.000 0.000 0.500
Li1 0.370 0.630 0.750
Li2 0.630 0.370 0.250
Ag1 0.394 0.606 0.250
Ag2 0.606 0.394 0.750

# PBE SnAsAuO, optimized geometry
# Final energy = -4.51 eV/atom
# Crystal system = orthorhombic
data_SnAsAuO
_space_group_name_H-M_alt 'P 1'
_space_group_IT_number 1
_cell_length_a 4.120
_cell_length_b 6.740
_cell_length_c 6.410
_cell_angle_alpha 90.00
_cell_angle_beta 90.00
_cell_angle_gamma 90.00
loop_
_space_group_symop_operation_xyz
'x,y,z'
loop_
_atom_site_label
_atom_site_fract_x
_atom_site_fract_y
_atom_site_fract_z
Sn1 0.500 0.357 0.022
Sn2 0.500 0.643 0.522
Au1 0.000 0.793 0.006
Au2 0.000 0.207 0.506
O1 0.500 0.610 0.841
O2 0.500 0.390 0.341
As1 0.000 0.847 0.385
As2 0.000 0.153 0.885

# PBE CsSmPtS3, optimized geometry
# Final energy = -5.17 eV/atom
# Crystal system = orthorhombic
# M_tot = 0.0 μB per formula unit
data_CsSmPtS3
_space_group_name_H-M_alt 'P 1'
_space_group_IT_number 1
_cell_length_a 8.371
_cell_length_b 8.371
_cell_length_c 10.355
_cell_angle_alpha 90.00
_cell_angle_beta 90.00
_cell_angle_gamma 152.24
loop_
_space_group_symop_operation_xyz
'x,y,z'
loop_
_atom_site_label
_atom_site_fract_x
_atom_site_fract_y
_atom_site_fract_z
S1 0.111 0.889 0.579
S2 0.427 0.573 0.750
S3 0.111 0.889 0.921
S4 0.573 0.427 0.250
S5 0.889 0.111 0.421
S6 0.889 0.111 0.079
Pt1 0.990 0.010 0.250
Pt2 0.010 0.990 0.750
Cs1 0.248 0.752 0.250
Cs2 0.752 0.248 0.750
Sm1 0.500 0.500 0.000
Sm2 0.500 0.500 0.500

- Which of these has the highest final energy?
  CdAgIr